Entry from Alexandria via LeMat-Bulk: crystalline Tl2Cd3In4Hg2 at its relaxed geometry (PBE).

a = 4.8894 Å, b = 4.8894 Å, c = 14.8968 Å
α = 90.00°, β = 90.00°, γ = 120.00°
Space group P-3m1 (No. 164)
Unique sites:
1 Tl 0.3333 0.6667 0.0639 (multiplicity 2)
2 Cd 0.0000 0.0000 0.2382 (multiplicity 2)
3 Cd 0.0000 0.0000 0.5000 (multiplicity 1)
4 In 0.3333 0.6667 0.3291 (multiplicity 2)
5 In 0.3333 0.6667 0.8289 (multiplicity 2)
6 Hg 0.3333 0.6667 0.5804 (multiplicity 2)

E	-18.5	eV per cell
DFT formation energy	0.048	eV/atom
V	28.038	Å³/atom